Record 1
The following is a DFT calculation (GGA-PBE) of a relaxed H2PbF crystal.

Cell: 3.964 3.964 3.964 Å, 60.00 60.00 60.00°
Sites, in units of the cell vectors:
H 0.250 0.250 0.250
H 0.750 0.750 0.750
Pb 0.000 0.000 0.000
F 0.500 0.500 0.500

Calculated values
Uncorrected energy (eV/cell): -12.69
Fermi-level density of states (states/eV/f.u.): 1.7

***

Record 2
The following is a DFT calculation (GGA-PBE) of a relaxed HPbF2 crystal.

Cell: 4.280 4.280 4.280 Å, 60.00 60.00 60.00°
Sites, in units of the cell vectors:
H 0.000 0.000 0.000
Pb 0.500 0.500 0.500
F 0.250 0.250 0.250
F 0.750 0.750 0.750

Calculated values
Uncorrected energy (eV/cell): -15.65
Fermi-level density of states (states/eV/f.u.): 0.0

***

Record 3
The following is a DFT calculation (GGA-PBE) of a relaxed HPb3F6 crystal.

Cell: 8.288 8.288 4.913 Å, 90.00 90.00 86.64°
Sites, in units of the cell vectors:
H 0.171 0.829 0.500
H 0.829 0.171 0.000
Pb 0.092 0.313 0.516
Pb 0.313 0.092 0.016
Pb 0.378 0.622 0.966
Pb 0.622 0.378 0.466
Pb 0.687 0.908 0.516
Pb 0.908 0.687 0.016
F 0.103 0.464 0.029
F 0.164 0.836 0.275
F 0.176 0.824 0.741
F 0.318 0.469 0.548
F 0.464 0.103 0.529
F 0.469 0.318 0.048
F 0.531 0.682 0.548
F 0.536 0.897 0.029
F 0.682 0.531 0.048
F 0.824 0.176 0.241
F 0.836 0.164 0.775
F 0.897 0.536 0.529

Calculated values
Uncorrected energy (eV/cell): -90.86
Fermi-level density of states (states/eV/f.u.): 1.6

***

Record 4
The following is a DFT calculation (GGA-PBE) of a relaxed PuH2PbF8 crystal.

Cell: 3.912 5.602 8.473 Å, 99.71 90.03 110.24°
Sites, in units of the cell vectors:
Pu 0.000 0.000 0.000
H 0.249 0.497 0.343
H 0.751 0.503 0.657
Pb 0.000 0.000 0.500
F 0.099 0.200 0.807
F 0.147 0.296 0.279
F 0.354 0.704 0.432
F 0.386 0.771 0.945
F 0.614 0.229 0.055
F 0.646 0.296 0.568
F 0.853 0.704 0.721
F 0.901 0.800 0.193

Calculated values
Uncorrected energy (eV/cell): -70.18
Fermi-level density of states (states/eV/f.u.): 6.6

***

Record 5
The following is a DFT calculation (GGA-PBE) of a relaxed RbH2PbF8 crystal.

Cell: 4.735 4.735 8.980 Å, 92.54 92.54 66.96°
Sites, in units of the cell vectors:
Rb 0.000 0.000 0.000
H 0.492 0.492 0.317
H 0.508 0.508 0.683
Pb 0.000 0.000 0.500
F 0.254 0.254 0.499
F 0.268 0.711 0.315
F 0.289 0.732 0.685
F 0.376 0.376 0.966
F 0.624 0.624 0.034
F 0.711 0.268 0.315
F 0.732 0.289 0.685
F 0.746 0.746 0.501

Calculated values
Uncorrected energy (eV/cell): -47.13
Fermi-level density of states (states/eV/f.u.): 3.8

***

Record 6
The following is a DFT calculation (GGA-PBE) of a relaxed Rb2HPbF6 crystal.

Cell: 6.630 6.630 6.630 Å, 129.90 129.90 73.56°
Sites, in units of the cell vectors:
Rb 0.250 0.750 0.500
Rb 0.750 0.250 0.500
H 0.000 0.000 0.000
Pb 0.500 0.500 0.000
F 0.215 0.215 0.429
F 0.215 0.785 0.000
F 0.287 0.287 0.000
F 0.713 0.713 0.000
F 0.785 0.215 0.000
F 0.785 0.785 0.571

Calculated values
Uncorrected energy (eV/cell): -40.13
Fermi-level density of states (states/eV/f.u.): 2.3

***

Record 7
The following is a DFT calculation (GGA-PBE) of a relaxed SiH2PbF8 crystal.

Cell: 5.091 5.091 6.842 Å, 98.86 98.86 64.60°
Sites, in units of the cell vectors:
Si 0.000 0.000 0.000
H 0.265 0.265 0.263
H 0.735 0.735 0.737
Pb 0.000 0.000 0.500
F 0.203 0.203 0.067
F 0.209 0.769 0.177
F 0.231 0.791 0.823
F 0.293 0.293 0.416
F 0.707 0.707 0.584
F 0.769 0.209 0.177
F 0.791 0.231 0.823
F 0.797 0.797 0.933

Calculated values
Uncorrected energy (eV/cell): -59.78
Fermi-level density of states (states/eV/f.u.): 0.0

***

Record 8
The following is a DFT calculation (GGA-PBE) of a relaxed SnH2PbF8 crystal.

Cell: 4.890 5.413 7.438 Å, 75.58 89.77 72.37°
Sites, in units of the cell vectors:
Sn 0.000 0.000 0.000
H 0.294 0.473 0.339
H 0.706 0.527 0.661
Pb 0.000 0.000 0.500
F 0.220 0.808 0.818
F 0.227 0.740 0.252
F 0.245 0.227 0.979
F 0.336 0.290 0.433
F 0.664 0.710 0.567
F 0.755 0.773 0.021
F 0.773 0.260 0.748
F 0.780 0.192 0.182

Calculated values
Uncorrected energy (eV/cell): -54.75
Fermi-level density of states (states/eV/f.u.): 0.0

***

Record 9
The following is a DFT calculation (GGA-PBE) of a relaxed SrHPb2F crystal.

Cell: 4.804 4.804 6.136 Å, 90.00 90.00 90.00°
Sites, in units of the cell vectors:
Sr 0.000 0.000 0.000
H 0.500 0.500 0.000
Pb 0.000 0.500 0.500
Pb 0.500 0.000 0.500
F 0.500 0.500 0.500

Calculated values
Uncorrected energy (eV/cell): -16.20
Fermi-level density of states (states/eV/f.u.): 3.4

***

Record 10
The following is a DFT calculation (GGA-PBE) of a relaxed SrH2PbF8 crystal.

Cell: 4.553 5.173 7.719 Å, 99.30 92.10 107.14°
Sites, in units of the cell vectors:
Sr 0.000 0.000 0.000
H 0.307 0.528 0.840
H 0.693 0.472 0.160
Pb 0.000 0.000 0.500
F 0.200 0.212 0.301
F 0.232 0.275 0.762
F 0.278 0.756 0.481
F 0.354 0.712 0.932
F 0.646 0.288 0.068
F 0.722 0.244 0.519
F 0.768 0.725 0.238
F 0.800 0.788 0.699

Calculated values
Uncorrected energy (eV/cell): -54.39
Fermi-level density of states (states/eV/f.u.): 0.0

***

Record 11
The following is a DFT calculation (GGA-PBE) of a relaxed TlHPbF6 crystal.

Cell: 4.479 5.870 6.238 Å, 91.27 91.76 111.98°
Sites, in units of the cell vectors:
Tl 0.000 0.000 0.000
H 0.350 0.639 0.665
Pb 0.704 0.369 0.469
F 0.100 0.587 0.722
F 0.157 0.293 0.406
F 0.535 0.062 0.252
F 0.550 0.164 0.736
F 0.615 0.689 0.613
F 0.836 0.595 0.213

Calculated values
Uncorrected energy (eV/cell): -37.41